Below is crystalline Ca2YBe at its relaxed geometry, with properties calculated at the PBE level.

Cell: 6.871 6.871 6.871 Å, 149.50 134.67 55.62°
Positions (direct):
Y  0.750  0.250  0.500
Be  0.250  0.750  0.500
Ca  0.059  0.059  0.000
Ca  0.441  0.441  0.000

- DFT formation energy: 0.28 eV/atom
- Space group: No. 71

---

Below is crystalline CaYBe at its relaxed geometry, with properties calculated at the PBE level.

Cell: 4.811 4.811 3.954 Å, 90.00 90.00 120.00°
Positions (direct):
Y  0.333  0.667  0.749
Ca  0.667  0.333  0.272
Be  0.000  0.000  0.978

- DFT formation energy: 0.43 eV/atom
- Space group: No. 156

---

Below is crystalline Ca2YBe at its relaxed geometry, with properties calculated at the PBE level.

Cell: 10.586 10.586 10.586 Å, 20.50 20.50 20.50°
Positions (direct):
Y  0.477  0.477  0.477
Ca  0.247  0.247  0.247
Ca  0.022  0.022  0.022
Be  0.753  0.753  0.753

- DFT formation energy: 0.29 eV/atom
- Space group: No. 160

---

Below is crystalline Ca2YBe at its relaxed geometry, with properties calculated at the PBE level.

Cell: 6.795 6.795 5.594 Å, 65.67 65.67 30.65°
Positions (direct):
Ca  0.751  0.751  0.750
Be  0.243  0.243  0.255
Y  0.561  0.561  0.440
Ca  0.946  0.946  0.055

- DFT formation energy: 0.27 eV/atom
- Space group: No. 8